Version i
A plane-wave DFT calculation with PBE was carried out for a geometry-optimized TlTc2I structure.

The structure belongs to space group I-42d (No. 122); the cell edges are 7.442, 7.442 and 6.217 Å and the angles 90.00°, 90.00° and 90.00°. The asymmetric unit holds Tl at (0.000, 0.000, 0.000), Tc at (0.205, 0.250, 0.625) and I at (0.000, 0.000, 0.500).

The density of states at the Fermi level comes out at 8.851 states/eV/cell.

=====

Version ii
A plane-wave DFT calculation with PBE was carried out for a geometry-optimized TlTc2I structure.

The structure belongs to space group Fm-3m (No. 225); the cell edges are 6.653, 6.653 and 6.653 Å and the angles 90.00°, 90.00° and 90.00°. The asymmetric unit holds Tl at (0.000, 0.000, 0.000), Tc at (0.250, 0.250, 0.250) and I at (0.000, 0.000, 0.500).

The density of states at the Fermi level comes out at 15.979 states/eV/cell.

=====

version ii wins, 363 meV/atom ahead of the next structure.

=====

Version i
A plane-wave DFT calculation with PBE was carried out for a geometry-optimized TlTcI3 structure.

The structure belongs to space group Pm-3m (No. 221); the cell edges are 6.114, 6.114 and 6.114 Å and the angles 90.00°, 90.00° and 90.00°. The asymmetric unit holds Tl at (0.000, 0.000, 0.000), Tc at (0.500, 0.500, 0.500) and I at (0.000, 0.000, 0.500).

The density of states at the Fermi level comes out at 6.681 states/eV/cell.

=====

Version ii
A plane-wave DFT calculation with PBE was carried out for a geometry-optimized TlTcI3 structure.

The structure belongs to space group Pm-3m (No. 221); the cell edges are 5.656, 5.656 and 5.656 Å and the angles 90.00°, 90.00° and 90.00°. The asymmetric unit holds Tl at (0.000, 0.000, 0.000), Tc at (0.500, 0.500, 0.500) and I at (0.000, 0.500, 0.500).

The density of states at the Fermi level comes out at 3.138 states/eV/cell.

=====

version ii wins, 826 meV/atom ahead of the next structure.

=====

Version i
A plane-wave DFT calculation with PBE was carried out for a geometry-optimized VTcI structure.

The structure belongs to space group C2 (No. 5); the cell edges are 11.912, 6.647 and 3.369 Å and the angles 90.00°, 101.77° and 90.00°. The asymmetric unit holds V at (0.087, 0.000, 0.402), Tc at (0.093, 0.741, 0.862) and I at (0.166, 0.318, 0.924).

The density of states at the Fermi level comes out at 2.530 states/eV/cell.

=====

Version ii
A plane-wave DFT calculation with PBE was carried out for a geometry-optimized VTcI structure.

The structure belongs to space group P1 (No. 1); the cell edges are 3.356, 6.544 and 6.564 Å and the angles 63.78°, 85.63° and 82.76°. The asymmetric unit holds V at (0.000, 0.000, 0.000), V at (0.380, 0.674, 0.327), Tc at (0.520, 0.839, 0.861), Tc at (0.979, 0.525, 0.180), I at (0.011, 0.051, 0.439) and I at (0.424, 0.412, 0.804).

The density of states at the Fermi level comes out at 3.289 states/eV/cell.

=====

version ii wins, 8 meV/atom ahead of the next structure.